Entry 1:
CuOs (meta-GGA SCAN, single point on PBEsol structure); SG = P6_3/mmc, No. 194; ΔH_f (0 K) = 29.113 kcal/mol of atoms
1.0
-3.525 1.440 0.485
0.476 -3.326 -1.855
-0.401 -2.388 4.180
Cu Os
2 2
Direct
0.667 0.333 0.750
0.333 0.667 0.250
0.000 0.000 0.000
0.000 0.000 0.500

=====

Entry 2:
Cu3Os (meta-GGA SCAN, single point on PBEsol structure); SG = Cmmm, No. 65; ΔH_f (0 K) = 6.434 kcal/mol of atoms
1.0
2.541 0.030 0.000
-1.111 2.286 0.000
0.000 0.000 8.491
Cu Os
3 1
Direct
0.000 0.000 0.239
0.000 0.000 0.761
0.500 0.500 0.000
0.500 0.500 0.500

=====

Entry 3:
CuPOs (meta-GGA SCAN, single point on PBEsol structure); SG = Fmm2, No. 42; ΔH_f (0 K) = 11.978 kcal/mol of atoms
1.0
-2.461 -0.737 -0.940
0.883 -1.163 2.313
-1.774 5.406 2.533
Cu Os P
1 1 1
Direct
0.006 0.006 0.012
0.323 0.323 0.646
0.671 0.671 0.342

=====

Entry 4:
CuP2Os (meta-GGA SCAN, single point on PBEsol structure); SG = P2/m, No. 10; ΔH_f (0 K) = 4.660 kcal/mol of atoms
1.0
-2.058 1.647 1.566
1.912 -0.779 3.332
2.577 3.804 -0.589
Cu Os P
1 1 2
Direct
0.500 0.500 0.500
0.000 0.500 0.000
0.001 0.000 0.728
0.999 0.000 0.272

=====

Entry 5:
CuP2Os (meta-GGA SCAN, single point on PBEsol structure); SG = Cm, No. 8; ΔH_f (0 K) = -1.571 kcal/mol of atoms
1.0
2.998 0.000 0.000
-1.499 3.761 0.001
0.000 -0.086 5.141
Cu Os P
1 1 2
Direct
0.557 0.115 0.710
0.694 0.387 0.208
0.974 0.947 0.046
0.276 0.551 0.536

=====

Entry 6:
CuPOs2 (meta-GGA SCAN, single point on PBEsol structure); SG = Pmm2, No. 25; ΔH_f (0 K) = 8.840 kcal/mol of atoms
1.0
-2.351 1.433 -0.336
-1.863 -3.124 -0.289
-0.741 -0.026 5.069
Cu Os P
1 2 1
Direct
0.500 0.500 0.755
0.000 0.000 0.987
0.500 0.500 0.256
0.000 0.000 0.502

=====

Entry 7:
CuPOs (meta-GGA SCAN, single point on PBEsol structure); SG = F-43m, No. 216; ΔH_f (0 K) = 4.131 kcal/mol of atoms
1.0
-1.393 3.509 1.151
-1.760 0.369 3.514
1.793 1.978 2.907
Cu Os P
1 1 1
Direct
0.500 0.500 0.500
0.250 0.250 0.250
0.000 0.000 0.000

=====

Entry 8:
CuPOs3 (meta-GGA SCAN, single point on PBEsol structure); SG = Pm-3m, No. 221; ΔH_f (0 K) = 58.289 kcal/mol of atoms
1.0
4.383 0.000 0.000
0.000 4.383 0.000
0.000 0.000 4.383
P Os Cu
1 3 1
Direct
0.500 0.500 0.500
0.000 0.500 0.000
0.000 0.000 0.500
0.500 0.000 0.000
0.000 0.000 0.000